No. 1
Material: CaNd4Sm
Method: DFT, GGA-PBE
State: optimized geometry

POSCAR file:
```
CaNd4Sm
1.0
3.667 0.000 0.000
0.000 5.262 0.000
0.000 0.000 11.119
Ca Nd Sm
1 4 1
Direct
0.000 0.000 0.000
0.000 0.000 0.338
0.000 0.000 0.662
0.500 0.500 0.178
0.500 0.500 0.822
0.500 0.500 0.500
```

Computed properties:
ΔH_f (0 K): 0.04 eV per atom
calculated total energy: -25.54 eV/cell
ΔE to the lowest computed polymorph: 0.0 meV/atom

No. 2
Material: Sr2Cd2Hg
Method: DFT, GGA-PBE
State: optimized geometry

POSCAR file:
```
Sr2Cd2Hg
1.0
9.054 0.000 0.000
0.000 9.054 0.000
0.000 0.000 4.378
Sr Cd Hg
4 4 2
Direct
0.171 0.329 0.000
0.329 0.829 0.000
0.671 0.171 0.000
0.829 0.671 0.000
0.122 0.622 0.500
0.378 0.122 0.500
0.622 0.878 0.500
0.878 0.378 0.500
0.000 0.000 0.000
0.500 0.500 0.000
```

Computed properties:
ΔH_f (0 K): -0.21 eV per atom
calculated total energy: -13.05 eV/cell
ΔE to the lowest computed polymorph: 166.2 meV/atom

No. 3
Material: Pr2Ga2Te
Method: DFT, GGA-PBE
State: optimized geometry

POSCAR file:
```
Pr2Ga2Te
1.0
2.172 1.254 8.283
-2.172 1.254 8.283
0.000 -2.508 8.283
Pr Ga Te
2 2 1
Direct
0.086 0.086 0.086
0.914 0.914 0.914
0.322 0.322 0.322
0.678 0.678 0.678
0.500 0.500 0.500
```

Computed properties:
calculated total energy: -24.01 eV/cell
energy relative to the elements, uncorrected: -24.241 kcal/mol of atoms

No. 4
Material: AlPtSe
Method: DFT, GGA-PBE
State: optimized geometry

POSCAR file:
```
AlPtSe
1.0
0.000 3.042 3.042
3.042 0.000 3.042
3.042 3.042 0.000
Al Pt Se
1 1 1
Direct
0.000 0.000 0.000
0.750 0.750 0.750
0.250 0.250 0.250
```

Computed properties:
calculated total energy: -14.02 eV/cell
ΔE to the lowest computed polymorph: 367.7 meV/atom
energy relative to the elements, uncorrected: -5.760 kcal/mol of atoms

No. 5
Material: Ce2DyY6Ho3
Method: DFT, GGA-PBE
State: optimized geometry

POSCAR file:
```
Ce2DyY6Ho3
1.0
3.076 -5.325 0.000
3.076 5.325 0.000
-2.049 0.000 11.581
Ce Dy Y Ho
2 1 6 3
Direct
0.167 0.833 0.000
0.833 0.167 0.000
0.500 0.500 0.000
0.081 0.416 0.750
0.249 0.249 0.250
0.416 0.081 0.750
0.584 0.919 0.250
0.751 0.751 0.750
0.919 0.584 0.250
0.000 0.000 0.500
0.334 0.666 0.500
0.666 0.334 0.500
```

Computed properties:
ΔH_f (0 K): 0.05 eV per atom
calculated total energy: -68.36 eV/cell

No. 6
Material: Ge2AsPdF
Method: DFT, GGA-PBE
State: optimized geometry

POSCAR file:
```
Ge2AsPdF
1.0
5.099 0.000 0.000
0.000 5.099 0.000
0.000 0.000 4.666
Ge As Pd F
2 1 1 1
Direct
0.000 0.500 0.000
0.500 0.000 0.000
0.000 0.000 0.000
0.000 0.000 0.500
0.500 0.500 0.500
```

Computed properties:
calculated total energy: -19.92 eV/cell
energy relative to the elements, uncorrected: 4.746 kcal/mol of atoms

No. 7
Material: ScCr2Ni
Method: DFT, GGA-PBE
State: optimized geometry

POSCAR file:
```
ScCr2Ni
1.0
3.055 0.000 0.000
0.000 3.055 0.000
0.000 0.000 6.055
Sc Cr Ni
1 2 1
Direct
0.000 0.000 0.000
0.000 0.000 0.495
0.500 0.500 0.308
0.500 0.500 0.747
```

Computed properties:
ΔH_f (0 K): 0.04 eV per atom
calculated total energy: -31.19 eV/cell
ΔE to the lowest computed polymorph: 0.0 meV/atom

No. 8
Material: NaCa2PdW
Method: DFT, GGA-PBE
State: optimized geometry

POSCAR file:
```
NaCa2PdW
1.0
5.600 0.000 0.000
0.000 5.600 0.000
0.000 0.000 5.443
Na Ca Pd W
1 2 1 1
Direct
0.000 0.000 0.000
0.000 0.500 0.500
0.500 0.000 0.500
0.500 0.500 0.000
0.000 0.000 0.500
```

Computed properties:
ΔH_f (0 K): 1.41 eV per atom
calculated total energy: -16.42 eV/cell